First-principles (PBE) data for a relaxed KCaAl2F9 crystal, as listed in the Alexandria database.

```
data_KCaAl2F9
_cell_length_a 7.242
_cell_length_b 7.242
_cell_length_c 22.995
_cell_angle_alpha 90.00
_cell_angle_beta 90.00
_cell_angle_gamma 119.75
_space_group_name_H-M_alt 'P 1'
_space_group_IT_number 1
_space_group_name_Hall 'P 1'
loop_
_atom_site_label
_atom_site_type_symbol
_atom_site_fract_x
_atom_site_fract_y
_atom_site_fract_z
Ca1 Ca 0.515 0.515 0.500
Ca2 Ca 0.500 0.012 0.333
Ca3 Ca 0.485 0.485 0.000
Ca4 Ca 0.500 0.988 0.833
Ca5 Ca 0.988 0.500 0.167
Ca6 Ca 0.012 0.500 0.667
F1 F 0.992 0.536 0.916
F2 F 0.227 0.336 0.666
F3 F 0.477 0.540 0.407
F4 F 0.583 0.031 0.427
F5 F 0.141 0.359 0.507
F6 F 0.286 0.753 0.489
F7 F 0.233 0.874 0.675
F8 F 0.885 0.672 0.483
F9 F 0.417 0.969 0.927
F10 F 0.013 0.428 0.760
F11 F 0.868 0.203 0.852
F12 F 0.540 0.477 0.593
F13 F 0.460 0.523 0.093
F14 F 0.518 0.269 0.155
F15 F 0.031 0.583 0.573
F16 F 0.987 0.572 0.260
F17 F 0.126 0.767 0.825
F18 F 0.773 0.664 0.166
F19 F 0.859 0.641 0.007
F20 F 0.464 0.008 0.584
F21 F 0.660 0.798 0.322
F22 F 0.874 0.233 0.325
F23 F 0.340 0.202 0.822
F24 F 0.428 0.013 0.240
F25 F 0.202 0.340 0.178
F26 F 0.731 0.482 0.345
F27 F 0.798 0.660 0.678
F28 F 0.455 0.738 0.179
F29 F 0.536 0.992 0.084
F30 F 0.008 0.464 0.416
F31 F 0.328 0.115 0.017
F32 F 0.359 0.141 0.493
F33 F 0.482 0.731 0.655
F34 F 0.738 0.455 0.821
F35 F 0.336 0.227 0.334
F36 F 0.203 0.868 0.148
F37 F 0.664 0.773 0.834
F38 F 0.115 0.328 0.983
F39 F 0.132 0.797 0.352
F40 F 0.523 0.460 0.907
F41 F 0.797 0.132 0.648
F42 F 0.247 0.714 0.011
F43 F 0.767 0.126 0.175
F44 F 0.672 0.885 0.517
F45 F 0.262 0.545 0.321
F46 F 0.545 0.262 0.679
F47 F 0.753 0.286 0.511
F48 F 0.269 0.518 0.845
F49 F 0.969 0.417 0.073
F50 F 0.514 0.486 0.250
F51 F 0.572 0.987 0.740
F52 F 0.714 0.247 0.989
F53 F 0.486 0.514 0.750
F54 F 0.641 0.859 0.993
Al1 Al 0.521 0.017 0.503
Al2 Al 0.983 0.479 0.997
Al3 Al 0.484 0.001 0.164
Al4 Al 0.516 0.999 0.664
Al5 Al 0.479 0.983 0.003
Al6 Al 0.017 0.521 0.497
Al7 Al 0.999 0.516 0.336
Al8 Al 0.497 0.513 0.330
Al9 Al 0.503 0.487 0.830
Al10 Al 0.001 0.484 0.836
Al11 Al 0.513 0.497 0.670
Al12 Al 0.487 0.503 0.170
K1 K 0.988 0.012 0.750
K2 K 0.008 0.965 0.917
K3 K 0.965 0.008 0.083
K4 K 0.012 0.988 0.250
K5 K 0.035 0.992 0.583
K6 K 0.992 0.035 0.417
```



First-principles (PBE) data for a relaxed KCaAlF6 crystal, as listed in the Alexandria database.

```
data_KCaAlF6
_cell_length_a 7.570
_cell_length_b 7.218
_cell_length_c 7.181
_cell_angle_alpha 120.17
_cell_angle_beta 121.81
_cell_angle_gamma 90.00
_space_group_name_H-M_alt 'P 1'
_space_group_IT_number 1
_space_group_name_Hall 'P 1'
loop_
_atom_site_label
_atom_site_type_symbol
_atom_site_fract_x
_atom_site_fract_y
_atom_site_fract_z
Al1 Al 0.500 0.500 0.000
Al2 Al 0.500 0.000 0.000
K1 K 0.151 0.401 0.302
K2 K 0.849 0.599 0.698
F1 F 0.461 0.154 0.258
F2 F 0.133 0.883 0.265
F3 F 0.539 0.846 0.742
F4 F 0.539 0.396 0.742
F5 F 0.203 0.396 0.742
F6 F 0.797 0.604 0.258
F7 F 0.542 0.792 0.083
F8 F 0.203 0.846 0.742
F9 F 0.461 0.604 0.258
F10 F 0.867 0.117 0.735
F11 F 0.458 0.208 0.917
F12 F 0.797 0.154 0.258
Ca1 Ca 0.000 0.000 0.500
Ca2 Ca 0.500 0.000 0.500
```



First-principles (PBE) data for a relaxed KCa2AlF8 crystal, as listed in the Alexandria database.

```
data_KCa2AlF8
_cell_length_a 5.072
_cell_length_b 5.045
_cell_length_c 7.177
_cell_angle_alpha 90.00
_cell_angle_beta 90.00
_cell_angle_gamma 87.98
_space_group_name_H-M_alt 'P 1'
_space_group_IT_number 1
_space_group_name_Hall 'P 1'
loop_
_atom_site_label
_atom_site_type_symbol
_atom_site_fract_x
_atom_site_fract_y
_atom_site_fract_z
F1 F 0.648 0.692 0.500
F2 F 0.352 0.308 0.500
F3 F 0.731 0.744 0.000
F4 F 0.177 0.810 0.180
F5 F 0.177 0.810 0.820
F6 F 0.823 0.190 0.820
F7 F 0.269 0.256 0.000
F8 F 0.823 0.190 0.180
Al1 Al 0.000 0.000 0.000
Ca1 Ca 0.500 0.500 0.242
Ca2 Ca 0.500 0.500 0.758
K1 K 0.000 0.000 0.500
```



First-principles (PBE) data for a relaxed Li2CaAlF8 crystal, as listed in the Alexandria database.

```
data_Li2CaAlF8
_cell_length_a 4.627
_cell_length_b 4.575
_cell_length_c 6.556
_cell_angle_alpha 89.99
_cell_angle_beta 90.00
_cell_angle_gamma 88.92
_space_group_name_H-M_alt 'P 1'
_space_group_IT_number 1
_space_group_name_Hall 'P 1'
loop_
_atom_site_label
_atom_site_type_symbol
_atom_site_fract_x
_atom_site_fract_y
_atom_site_fract_z
Al1 Al 0.000 0.000 0.000
Ca1 Ca 0.000 0.000 0.500
F1 F 0.307 0.246 0.000
F2 F 0.840 0.222 0.795
F3 F 0.160 0.778 0.795
F4 F 0.693 0.754 0.000
F5 F 0.421 0.266 0.500
F6 F 0.840 0.222 0.205
F7 F 0.579 0.734 0.500
F8 F 0.160 0.778 0.205
Li1 Li 0.500 0.500 0.784
Li2 Li 0.500 0.500 0.216
```



First-principles (PBE) data for a relaxed LiCaAlF6 crystal, as listed in the Alexandria database.

```
data_LiCaAlF6
_cell_length_a 5.082
_cell_length_b 5.082
_cell_length_c 9.726
_cell_angle_alpha 90.00
_cell_angle_beta 90.00
_cell_angle_gamma 120.00
_space_group_name_H-M_alt 'P 1'
_space_group_IT_number 1
_space_group_name_Hall 'P 1'
loop_
_atom_site_label
_atom_site_type_symbol
_atom_site_fract_x
_atom_site_fract_y
_atom_site_fract_z
F1 F 0.376 0.031 0.857
F2 F 0.655 0.624 0.857
F3 F 0.345 0.969 0.357
F4 F 0.624 0.655 0.357
F5 F 0.031 0.376 0.357
F6 F 0.624 0.969 0.143
F7 F 0.031 0.655 0.143
F8 F 0.969 0.624 0.643
F9 F 0.345 0.376 0.143
F10 F 0.969 0.345 0.857
F11 F 0.655 0.031 0.643
F12 F 0.376 0.345 0.643
Li1 Li 0.667 0.333 0.250
Li2 Li 0.333 0.667 0.750
Ca1 Ca 0.000 0.000 0.500
Ca2 Ca 0.000 0.000 0.000
Al1 Al 0.667 0.333 0.750
Al2 Al 0.333 0.667 0.250
```



First-principles (PBE) data for a relaxed LiCaAlF6 crystal, as listed in the Alexandria database.

```
data_LiCaAlF6
_cell_length_a 4.872
_cell_length_b 5.074
_cell_length_c 5.074
_cell_angle_alpha 120.00
_cell_angle_beta 90.00
_cell_angle_gamma 90.00
_space_group_name_H-M_alt 'P 1'
_space_group_IT_number 1
_space_group_name_Hall 'P 1'
loop_
_atom_site_label
_atom_site_type_symbol
_atom_site_fract_x
_atom_site_fract_y
_atom_site_fract_z
F1 F 0.714 0.303 0.012
F2 F 0.286 0.709 0.012
F3 F 0.286 0.988 0.697
F4 F 0.286 0.303 0.291
F5 F 0.714 0.709 0.697
F6 F 0.714 0.988 0.291
Li1 Li 0.500 0.667 0.333
Ca1 Ca 0.000 0.333 0.667
Al1 Al 0.500 0.000 0.000
```



# CaAlN2F (PBE, optimized geometry)
data_CaAlN2F
_cell_length_a 4.755
_cell_length_b 4.755
_cell_length_c 4.273
_cell_angle_alpha 90.00
_cell_angle_beta 90.00
_cell_angle_gamma 90.00
_space_group_name_H-M_alt 'P 1'
_space_group_IT_number 1
_space_group_name_Hall 'P 1'
loop_
_atom_site_label
_atom_site_type_symbol
_atom_site_fract_x
_atom_site_fract_y
_atom_site_fract_z
Ca1 Ca 0.000 0.000 0.000
N1 N 0.500 0.000 0.000
N2 N 0.000 0.500 0.000
F1 F 0.000 0.000 0.500
Al1 Al 0.500 0.500 0.500
# Energy above the lowest structure with this stoichiometry in meV per atom: 1673.5



# CaAlN2F (PBE, optimized geometry)
data_CaAlN2F
_cell_length_a 3.735
_cell_length_b 3.735
_cell_length_c 4.116
_cell_angle_alpha 90.00
_cell_angle_beta 90.00
_cell_angle_gamma 90.00
_space_group_name_H-M_alt 'P 1'
_space_group_IT_number 1
_space_group_name_Hall 'P 1'
loop_
_atom_site_label
_atom_site_type_symbol
_atom_site_fract_x
_atom_site_fract_y
_atom_site_fract_z
Al1 Al 0.000 0.000 0.000
F1 F 0.000 0.000 0.500
N1 N 0.000 0.500 0.000
N2 N 0.500 0.000 0.000
Ca1 Ca 0.500 0.500 0.500
# Energy above the lowest structure with this stoichiometry in meV per atom: 0.0



# NaCaAlF6 (PBE, optimized geometry)
data_NaCaAlF6
_cell_length_a 5.561
_cell_length_b 5.561
_cell_length_c 9.193
_cell_angle_alpha 90.00
_cell_angle_beta 90.00
_cell_angle_gamma 120.00
_space_group_name_H-M_alt 'P 1'
_space_group_IT_number 1
_space_group_name_Hall 'P 1'
loop_
_atom_site_label
_atom_site_type_symbol
_atom_site_fract_x
_atom_site_fract_y
_atom_site_fract_z
F1 F 0.607 0.941 0.862
F2 F 0.059 0.666 0.862
F3 F 0.607 0.666 0.638
F4 F 0.666 0.607 0.138
F5 F 0.941 0.334 0.138
F6 F 0.334 0.941 0.638
F7 F 0.393 0.059 0.138
F8 F 0.666 0.059 0.362
F9 F 0.941 0.607 0.362
F10 F 0.059 0.393 0.638
F11 F 0.393 0.334 0.362
F12 F 0.334 0.393 0.862
Na1 Na 0.000 0.000 0.500
Na2 Na 0.000 0.000 0.000
Al1 Al 0.333 0.667 0.750
Al2 Al 0.667 0.333 0.250
Ca1 Ca 0.667 0.333 0.750
Ca2 Ca 0.333 0.667 0.250
# Energy above the lowest structure with this stoichiometry in meV per atom: 42.0



Number 1: formation energy without anion corrections -344.48 kJ per mole of atoms. Number 2: formation energy without anion corrections -342.05 kJ per mole of atoms. Number 3: formation energy without anion corrections -346.45 kJ per mole of atoms. Number 4: formation energy without anion corrections -298.67 kJ per mole of atoms. Number 5: formation energy without anion corrections -346.28 kJ per mole of atoms. Number 6: formation energy without anion corrections -346.16 kJ per mole of atoms. Number 7: formation energy without anion corrections 43.74 kJ per mole of atoms. Number 8: formation energy without anion corrections -117.73 kJ per mole of atoms. Number 9: formation energy without anion corrections -338.66 kJ per mole of atoms.